*1*
Entry from Alexandria: crystalline CsYTe3 at its relaxed geometry (PBE-GGA).

Computed properties:
Size of the total moment in μB per cell: 0.009
Volume in Å³ per cell: 214.8
SG: Pm-3m

Cell: 5.9886 5.9886 5.9886 Å, 90.00 90.00 90.00°
Closest atoms and distances in Å follow each position.
Element x y z (fractional)
1 Cs 0.5000 0.5000 0.5000  12 Te 4.23
2 Y 0.0000 0.0000 0.0000  6 Te 2.99
3 Te 0.0000 0.5000 0.0000  2 Y 2.99
4 Te 0.0000 0.0000 0.5000  2 Y 2.99
5 Te 0.5000 0.0000 0.0000  2 Y 2.99

=====

*2*
Entry from Alexandria: crystalline CsYTe3 at its relaxed geometry (PBE-GGA).

Computed properties:
Size of the total moment in μB per cell: 0.000
Volume in Å³ per cell: 226.2
SG: Pm-3m

Cell: 6.0929 6.0929 6.0929 Å, 90.00 90.00 90.00°
Closest atoms and distances in Å follow each position.
Element x y z (fractional)
1 Cs 0.0000 0.0000 0.0000  6 Te 3.05
2 Y 0.5000 0.5000 0.5000  12 Te 4.31
3 Te 0.0000 0.5000 0.0000  2 Cs 3.05
4 Te 0.0000 0.0000 0.5000  2 Cs 3.05
5 Te 0.5000 0.0000 0.0000  2 Cs 3.05

=====

*3*
Entry from Alexandria: crystalline CsYTe3 at its relaxed geometry (PBE-GGA).

Computed properties:
Size of the total moment in μB per cell: 0.000
Volume in Å³ per cell: 822.8
SG: Pbcm

Cell: 7.1861 6.7348 17.0009 Å, 90.00 90.00 90.00°
Closest atoms and distances in Å follow each position.
Element x y z (fractional)
1 Cs 0.7500 0.4698 0.6877  9 Te 3.83-4.26
2 Cs 0.2500 0.5302 0.3123  9 Te 3.83-4.26
3 Cs 0.7500 0.9698 0.3123  9 Te 3.83-4.26
4 Cs 0.2500 0.0302 0.6877  9 Te 3.83-4.26
5 Y 0.5000 0.2500 0.0777  6 Te 3.01-3.14
6 Y 0.0000 0.7500 0.9223  6 Te 3.01-3.14
7 Y 0.5000 0.7500 0.9223  6 Te 3.01-3.14
8 Y 0.0000 0.2500 0.0777  6 Te 3.01-3.14
9 Te 0.0000 0.2500 0.4952  4 Te 3.37-3.59
10 Te 0.5000 0.7500 0.5048  4 Te 3.37-3.59
11 Te 0.0000 0.7500 0.5048  4 Te 3.37-3.59
12 Te 0.5000 0.2500 0.4952  4 Te 3.37-3.59
13 Te 0.2500 0.1130 0.9362  4 Y 3.04-3.14
14 Te 0.7500 0.8870 0.0638  4 Y 3.04-3.14
15 Te 0.2500 0.6130 0.0638  4 Y 3.04-3.14
16 Te 0.7500 0.3870 0.9362  4 Y 3.04-3.14
17 Te 0.2500 0.5457 0.8057  2 Y 3.01
18 Te 0.7500 0.4543 0.1943  2 Y 3.01
19 Te 0.2500 0.0457 0.1943  2 Y 3.01
20 Te 0.7500 0.9543 0.8057  2 Y 3.01

=====

Most stable to least stable, the ends of the list are *3* and *2*.

=====

*1*
Entry from Alexandria: crystalline CsZnTe at its relaxed geometry (PBE-GGA).

Computed properties:
Size of the total moment in μB per cell: 0.000
Volume in Å³ per cell: 245.9
SG: P2/m

Cell: 4.3966 5.5089 10.1528 Å, 90.00 90.26 90.00°
Closest atoms and distances in Å follow each position.
Element x y z (fractional)
1 Cs 0.0000 0.5000 0.5000  8 Zn 3.74, 4 Te 3.94
2 Cs 0.5000 0.5000 0.0000  8 Te 4.17-4.20, 2 Cs 4.40
3 Zn 0.5011 0.0000 0.6238  1 Zn 2.51, 2 Te 2.69-2.70
4 Zn 0.4989 0.0000 0.3762  1 Zn 2.51, 2 Te 2.69-2.70
5 Te 0.9972 0.0000 0.2226  2 Zn 2.69-2.70
6 Te 0.0028 0.0000 0.7774  2 Zn 2.69-2.70

=====

*2*
Entry from Alexandria: crystalline CsZnTe at its relaxed geometry (PBE-GGA).

Computed properties:
Size of the total moment in μB per cell: 0.000
Volume in Å³ per cell: 573.3
SG: Cm

Cell: 8.0308 5.6897 12.9696 Å, 90.00 104.67 90.00°
Closest atoms and distances in Å follow each position.
Element x y z (fractional)
1 Cs 0.6512 0.0000 0.6512  2 Zn 3.77, 5 Te 3.95-4.14
2 Cs 0.6512 0.5000 0.1512  2 Zn 3.77, 5 Te 3.95-4.14
3 Cs 0.0164 0.0000 0.4318  5 Te 3.85-4.26, 4 Zn 3.89-4.04
4 Cs 0.0164 0.5000 0.9318  5 Te 3.85-4.26, 4 Zn 3.89-4.04
5 Zn 0.2461 0.7149 0.2175  1 Zn 2.45, 2 Te 2.67-2.71
6 Zn 0.2461 0.2851 0.2175  1 Zn 2.45, 2 Te 2.67-2.71
7 Zn 0.2461 0.2149 0.7175  1 Zn 2.45, 2 Te 2.67-2.71
8 Zn 0.2461 0.7851 0.7175  1 Zn 2.45, 2 Te 2.67-2.71
9 Te 0.9791 0.0000 0.1252  2 Zn 2.71
10 Te 0.9791 0.5000 0.6252  2 Zn 2.71
11 Te 0.4843 0.0000 0.3346  2 Zn 2.67
12 Te 0.4843 0.5000 0.8346  2 Zn 2.67

=====

*3*
Entry from Alexandria: crystalline CsZnTe at its relaxed geometry (PBE-GGA).

Computed properties:
Size of the total moment in μB per cell: 0.000
Volume in Å³ per cell: 274.8
SG: P-1

Cell: 5.5773 5.6292 9.5983 Å, 72.93 106.68 90.00°
Closest atoms and distances in Å follow each position.
Element x y z (fractional)
1 Cs 0.8793 0.8547 0.5259  5 Te 3.91-3.99, 4 Zn 4.06
2 Cs 0.5792 0.1598 0.9183  5 Te 3.91-3.99, 4 Zn 4.06
3 Zn 0.9480 0.5077 0.2220  1 Zn 2.45, 2 Te 2.69
4 Zn 0.5091 0.5076 0.2222  1 Zn 2.45, 2 Te 2.68-2.69
5 Te 0.3518 0.3820 0.4714  2 Zn 2.68-2.69
6 Te 0.1057 0.6326 0.9726  2 Zn 2.69

=====

Most stable to least stable, the ends of the list are *3* and *1*.

=====

*1*
Entry from Alexandria: crystalline CsZnTe at its relaxed geometry (PBE-GGA).

Computed properties:
Size of the total moment in μB per cell: 0.000
Volume in Å³ per cell: 485.5
SG: P2_1/c

Cell: 7.5771 7.8372 8.5427 Å, 73.16 90.00 90.00°
Closest atoms and distances in Å follow each position.
Element x y z (fractional)
1 Cs 0.8501 0.7058 0.2457  6 Te 3.86-4.23, 4 Zn 3.87-4.00
2 Cs 0.6499 0.7058 0.7457  6 Te 3.86-4.23, 4 Zn 3.87-4.00
3 Cs 0.1499 0.2942 0.7543  6 Te 3.86-4.23, 4 Zn 3.87-4.00
4 Cs 0.3501 0.2942 0.2543  6 Te 3.86-4.23, 4 Zn 3.87-4.00
5 Zn 0.1199 0.8930 0.5585  1 Zn 2.48, 2 Te 2.69
6 Zn 0.3801 0.8930 0.0585  1 Zn 2.48, 2 Te 2.69
7 Zn 0.8801 0.1070 0.4415  1 Zn 2.48, 2 Te 2.69
8 Zn 0.6199 0.1070 0.9415  1 Zn 2.48, 2 Te 2.69
9 Te 0.6691 0.2565 0.6187  2 Zn 2.69
10 Te 0.1691 0.7435 0.8813  2 Zn 2.69
11 Te 0.3309 0.7435 0.3813  2 Zn 2.69
12 Te 0.8309 0.2565 0.1187  2 Zn 2.69

=====

*2*
Entry from Alexandria: crystalline CsZnTe at its relaxed geometry (PBE-GGA).

Computed properties:
Size of the total moment in μB per cell: 0.000
Volume in Å³ per cell: 538.3
SG: C2/m

Cell: 5.5726 8.5618 12.5752 Å, 90.00 116.22 90.00°
Closest atoms and distances in Å follow each position.
Element x y z (fractional)
1 Cs 0.6819 0.0000 0.6834  2 Zn 3.90-3.91, 6 Te 4.05-4.19, 1 Cs 4.14
2 Cs 0.3181 0.0000 0.3166  2 Zn 3.90-3.91, 6 Te 4.05-4.19, 1 Cs 4.14
3 Cs 0.6819 0.5000 0.1834  2 Zn 3.90-3.91, 6 Te 4.05-4.19, 1 Cs 4.14
4 Cs 0.3181 0.5000 0.8166  2 Zn 3.90-3.91, 6 Te 4.05-4.19, 1 Cs 4.14
5 Zn 0.7160 0.0000 0.0000  1 Zn 2.41, 2 Te 2.70
6 Zn 0.2840 0.0000 0.0000  1 Zn 2.41, 2 Te 2.70
7 Zn 0.7160 0.5000 0.5000  1 Zn 2.41, 2 Te 2.70
8 Zn 0.2840 0.5000 0.5000  1 Zn 2.41, 2 Te 2.70
9 Te 0.0000 0.7452 0.0000  2 Zn 2.70
10 Te 0.0000 0.2548 0.0000  2 Zn 2.70
11 Te 0.0000 0.2452 0.5000  2 Zn 2.70
12 Te 0.0000 0.7548 0.5000  2 Zn 2.70

=====

Most stable to least stable, the ends of the list are *1* and *2*.